# 1
A geometry-optimized BeNiAgPb structure, computed with GGA-PBE.

Unit cell a=6.3498 b=6.3498 c=6.3498 alpha=90.00 beta=90.00 gamma=90.00
Closest atoms and distances in Å follow each position.
Space group F-43m (No. 216)
One atom of each set of equivalent atoms:
Be 0.0000 0.0000 0.0000 (multiplicity 4)  4 Pb 2.75, 4 Ag 2.75
Ni 0.0000 0.0000 0.5000 (multiplicity 4)  4 Pb 2.75, 4 Ag 2.75
Ag 0.2500 0.2500 0.7500 (multiplicity 4)  4 Ni 2.75, 4 Be 2.75
Pb 0.2500 0.2500 0.2500 (multiplicity 4)  4 Ni 2.75, 4 Be 2.75

The value obtained for the magnetization is 0.000 μB per atom. For the raw total energy, the calculation gives -3.5770 eV/atom.



# 2
A geometry-optimized AcNpBi structure, computed with GGA-PBE.

Unit cell a=7.8323 b=7.8323 c=7.8323 alpha=90.00 beta=90.00 gamma=90.00
Closest atoms and distances in Å follow each position.
Space group F-43m (No. 216)
One atom of each set of equivalent atoms:
Ac 0.0000 0.0000 0.0000 (multiplicity 4)  4 Bi 3.39, 4 Np 3.39
Np 0.2500 0.2500 0.2500 (multiplicity 4)  4 Ac 3.39
Bi 0.2500 0.2500 0.7500 (multiplicity 4)  4 Ac 3.39

The value obtained for the magnetization is 2.194 μB per atom. For the raw total energy, the calculation gives -6.3196 eV/atom.



# 3
A geometry-optimized PrBS3 structure, computed with GGA-PBE.

Unit cell a=7.6914 b=6.0222 c=8.9948 alpha=90.00 beta=90.00 gamma=90.00
Closest atoms and distances in Å follow each position.
Space group Pna2_1 (No. 33)
One atom of each set of equivalent atoms:
Pr 0.1144 0.0707 0.0000 (multiplicity 4)  8 S 2.90-3.15
B 0.1463 0.5963 0.1713 (multiplicity 4)  3 S 1.81-1.83
S 0.0020 0.5955 0.0128 (multiplicity 4)  1 B 1.81
S 0.1723 0.8348 0.2943 (multiplicity 4)  1 B 1.82
S 0.2032 0.8659 0.7019 (multiplicity 4)  1 B 1.83

The value obtained for the magnetization is 0.001 μB per atom. For the raw total energy, the calculation gives -6.0249 eV/atom.



# 4
A geometry-optimized NbIrPd2 structure, computed with GGA-PBE.

Unit cell a=6.3146 b=6.3146 c=6.3146 alpha=90.00 beta=90.00 gamma=90.00
Closest atoms and distances in Å follow each position.
Space group F-43m (No. 216)
One atom of each set of equivalent atoms:
Nb 0.0000 0.0000 0.0000 (multiplicity 4)  4 Pd 2.73, 4 Ir 2.73
Ir 0.2500 0.2500 0.2500 (multiplicity 4)  4 Nb 2.73, 4 Pd 2.73
Pd 0.0000 0.0000 0.5000 (multiplicity 4)  4 Ir 2.73, 4 Pd 2.73
Pd 0.2500 0.2500 0.7500 (multiplicity 4)  4 Nb 2.73, 4 Pd 2.73

The value obtained for the magnetization is 0.001 μB per atom. As for the energy of formation from the pure elements: -0.228 eV per atom.



# 5
A geometry-optimized Y2Re3Tc structure, computed with GGA-PBE.

Unit cell a=5.3763 b=5.3763 c=8.9448 alpha=90.00 beta=90.00 gamma=120.00
Closest atoms and distances in Å follow each position.
Space group P6_3/mmc (No. 194)
One atom of each set of equivalent atoms:
Y 0.3333 0.6667 0.0630 (multiplicity 4)  3 Tc 3.15, 9 Re 3.17-3.18, 4 Y 3.30-3.35
Re 0.1710 0.3421 0.7500 (multiplicity 6)  4 Re 2.62-2.76, 2 Tc 2.75
Tc 0.0000 0.0000 0.0000 (multiplicity 2)  6 Re 2.75

The value obtained for the magnetization is 0.001 μB per atom. As for the energy of formation from the pure elements: -0.200 eV per atom.



# 6
A geometry-optimized Hf3Zn3Ni2Pt structure, computed with GGA-PBE.

Unit cell a=6.9290 b=6.9290 c=3.4596 alpha=90.00 beta=90.00 gamma=120.00
Closest atoms and distances in Å follow each position.
Space group P-62m (No. 189)
One atom of each set of equivalent atoms:
Hf 0.0000 0.5964 0.0000 (multiplicity 3)  4 Ni 2.73, 1 Pt 2.80, 6 Zn 2.81-3.02
Zn 0.0000 0.2772 0.5000 (multiplicity 3)  2 Ni 2.53, 2 Pt 2.59, 2 Hf 2.81
Ni 0.3333 0.6667 0.5000 (multiplicity 2)  3 Zn 2.53, 6 Hf 2.73
Pt 0.0000 0.0000 0.0000 (multiplicity 1)  6 Zn 2.59, 3 Hf 2.80

The value obtained for the magnetization is 0.001 μB per atom. As for the energy of formation from the pure elements: -0.536 eV per atom.



# 7
A geometry-optimized ZrAlFe4 structure, computed with GGA-PBE.

Unit cell a=6.8184 b=6.8184 c=6.8184 alpha=90.00 beta=90.00 gamma=90.00
Closest atoms and distances in Å follow each position.
Space group F-43m (No. 216)
One atom of each set of equivalent atoms:
Zr 0.0000 0.0000 0.0000 (multiplicity 4)  12 Fe 2.83, 4 Al 2.95
Al 0.2500 0.2500 0.2500 (multiplicity 4)  12 Fe 2.82, 4 Zr 2.95
Fe 0.1240 0.1240 0.6240 (multiplicity 16)  6 Fe 2.39-2.43

The value obtained for the magnetization is 1.014 μB per atom. For the raw total energy, the calculation gives -7.8908 eV/atom.



# 8
A geometry-optimized GeSbAu structure, computed with GGA-PBE.

Unit cell a=5.5289 b=4.2501 c=12.4849 alpha=90.00 beta=90.00 gamma=90.00
Closest atoms and distances in Å follow each position.
Space group Pnma (No. 62)
One atom of each set of equivalent atoms:
Ge 0.2050 0.2500 0.1893 (multiplicity 4)  2 Au 2.59, 1 Sb 2.85
Sb 0.1724 0.2500 0.4175 (multiplicity 4)  2 Au 2.78, 2 Ge 2.85-2.91
Au 0.0186 0.2500 0.8751 (multiplicity 4)  2 Ge 2.59, 2 Sb 2.78

The calculation puts the energy above the most stable polymorph in this dataset at 0 meV/atom.